Entry 1:
A relaxed NaSeO2 crystal. Source: the Alexandria database, functional PBE-GGA.

```
NaSeO2
1.0
1.612 0.931 6.301
-1.612 0.931 6.301
0.000 -1.861 6.301
Na Se O
1 1 2
Direct
0.000 0.000 0.000
0.500 0.500 0.500
0.406 0.406 0.406
0.594 0.594 0.594
```

Output
- total magnetic moment (μB per atom) = 0.000
- V (A^3/atom) = 14.179
- raw formation energy (meV/atom) = -707.4


Entry 2:
A relaxed HfAlGaCu crystal. Source: the Alexandria database, functional PBE-GGA.

```
HfAlGaCu
1.0
3.964 0.000 0.000
0.000 3.986 0.000
0.000 0.000 4.072
Hf Al Ga Cu
1 1 1 1
Direct
0.000 0.000 0.000
0.000 0.500 0.500
0.500 0.500 0.000
0.500 0.000 0.500
```

Output
- ΔE_f (meV per atom) = -369
- total magnetic moment (μB per atom) = 0.000
- V (A^3/atom) = 16.085


Entry 3:
A relaxed Eu2ThHg crystal. Source: the Alexandria database, functional PBE-GGA.

```
Eu2ThHg
1.0
1.851 1.069 11.185
-1.851 1.069 11.185
0.000 -2.138 11.185
Eu Th Hg
2 1 1
Direct
0.243 0.243 0.243
0.757 0.757 0.757
0.000 0.000 0.000
0.500 0.500 0.500
```

Output
- ΔE_f (meV per atom) = -75
- total magnetic moment (μB per atom) = 3.737
- V (A^3/atom) = 33.197
- excess energy over the best structure of this formula in the dataset (kJ/mol of atoms) = 4.8


Entry 4:
A relaxed PmLu2Sn crystal. Source: the Alexandria database, functional PBE-GGA.

```
PmLu2Sn
1.0
0.000 3.801 3.801
3.801 0.000 3.801
3.801 3.801 0.000
Pm Lu Sn
1 2 1
Direct
0.000 0.000 0.000
0.250 0.250 0.250
0.750 0.750 0.750
0.500 0.500 0.500
```

Output
- ΔE_f (meV per atom) = -161
- total magnetic moment (μB per atom) = 0.380
- V (A^3/atom) = 27.455
- excess energy over the best structure of this formula in the dataset (kJ/mol of atoms) = 22.4


Entry 5:
A relaxed Tm4Ga3Cu crystal. Source: the Alexandria database, functional PBE-GGA.

```
Tm4Ga3Cu
1.0
4.949 0.000 0.000
0.000 4.949 0.000
0.000 0.000 7.024
Tm Ga Cu
4 3 1
Direct
0.000 0.500 0.247
0.000 0.500 0.753
0.500 0.000 0.247
0.500 0.000 0.753
0.000 0.000 0.000
0.000 0.000 0.500
0.500 0.500 0.500
0.500 0.500 0.000
```

Output
- ΔE_f (meV per atom) = -501
- total magnetic moment (μB per atom) = 0.000
- V (A^3/atom) = 21.506
- excess energy over the best structure of this formula in the dataset (kJ/mol of atoms) = 0.9


Entry 6:
A relaxed YTmTe6 crystal. Source: the Alexandria database, functional PBE-GGA.

```
YTmTe6
1.0
4.335 0.000 0.000
0.000 2.167 13.365
0.000 -2.167 13.365
Y Tm Te
1 1 6
Direct
0.000 0.000 0.000
0.500 0.654 0.654
0.000 0.120 0.120
0.000 0.406 0.406
0.000 0.747 0.747
0.500 0.247 0.247
0.500 0.535 0.535
0.500 0.906 0.906
```

Output
- total magnetic moment (μB per atom) = 0.000
- V (A^3/atom) = 31.382
- raw formation energy (meV/atom) = -888.5


Entry 7:
A relaxed GaAsHIr2 crystal. Source: the Alexandria database, functional PBE-GGA.

```
GaAsHIr2
1.0
4.122 0.000 0.000
0.000 4.122 0.000
0.000 0.000 3.791
Ga As H Ir
1 1 1 2
Direct
0.000 0.000 0.000
0.500 0.500 0.000
0.000 0.000 0.500
0.000 0.500 0.500
0.500 0.000 0.500
```

Output
- total magnetic moment (μB per atom) = 0.000
- V (A^3/atom) = 12.880
- electronic total energy (eV/atom) = -5.46


Entry 8:
A relaxed NdDy6Hg2 crystal. Source: the Alexandria database, functional PBE-GGA.

```
NdDy6Hg2
1.0
6.323 -1.870 0.000
6.323 1.870 0.000
-3.764 0.000 11.276
Nd Dy Hg
1 6 2
Direct
0.000 0.000 0.000
0.015 0.015 0.340
0.312 0.312 0.125
0.312 0.312 0.417
0.688 0.688 0.583
0.688 0.688 0.875
0.985 0.985 0.660
0.351 0.351 0.784
0.649 0.649 0.216
```

Output
- ΔE_f (meV per atom) = -203
- total magnetic moment (μB per atom) = 0.000
- V (A^3/atom) = 29.622


Entry 9:
A relaxed NaYZr crystal. Source: the Alexandria database, functional PBE-GGA.

```
NaYZr
1.0
5.831 0.000 0.000
0.000 3.365 0.000
-0.632 0.000 9.014
Na Y Zr
2 2 2
Direct
0.238 0.000 0.480
0.762 0.500 0.520
0.398 0.495 0.846
0.602 0.995 0.154
0.093 0.495 0.132
0.907 0.995 0.868
```

Output
- ΔE_f (meV per atom) = 226
- total magnetic moment (μB per atom) = 0.000
- V (A^3/atom) = 29.477
- excess energy over the best structure of this formula in the dataset (kJ/mol of atoms) = 12.7


Entry 10:
A relaxed FeCo3B crystal. Source: the Alexandria database, functional PBE-GGA.

```
FeCo3B
1.0
2.843 1.641 3.703
-2.843 1.641 3.703
0.000 -3.283 3.703
Fe Co B
2 6 2
Direct
0.000 0.000 0.000
0.500 0.500 0.500
0.033 0.549 0.368
0.049 0.533 0.868
0.368 0.033 0.549
0.533 0.868 0.049
0.549 0.368 0.033
0.868 0.049 0.533
0.190 0.190 0.190
0.690 0.690 0.690
```

Output
- ΔE_f (meV per atom) = 70
- total magnetic moment (μB per atom) = 1.183
- V (A^3/atom) = 10.368
- excess energy over the best structure of this formula in the dataset (kJ/mol of atoms) = 0.7


Copy entry 4 word for word.
A relaxed PmLu2Sn crystal. Source: the Alexandria database, functional PBE-GGA.

```
PmLu2Sn
1.0
0.000 3.801 3.801
3.801 0.000 3.801
3.801 3.801 0.000
Pm Lu Sn
1 2 1
Direct
0.000 0.000 0.000
0.250 0.250 0.250
0.750 0.750 0.750
0.500 0.500 0.500
```

Output
- ΔE_f (meV per atom) = -161
- total magnetic moment (μB per atom) = 0.380
- V (A^3/atom) = 27.455
- excess energy over the best structure of this formula in the dataset (kJ/mol of atoms) = 22.4